Record 1
RbLiGaN2: relaxed, PBE.

Output
Symmetry: P4/mmm (123)
Uncorrected formation energy: 2.053 eV per atom

Structure (POSCAR):
```
RbLiGaN2
1.0
-0.9787 2.8058 -4.3195
4.8124 -2.3435 -2.6125
-2.9302 -3.9193 -1.8819
Li Ga Rb N
1 1 1 2
Direct
0.5000 0.5000 0.5000
0.0000 0.5000 0.0000
0.0000 0.0000 0.0000
0.0000 0.0000 0.5000
0.5000 0.0000 0.0000
```



Record 2
La3PrAg: relaxed, PBE.

Output
Symmetry: C2/m (12)
Energy relative to the elements: -0.029 eV per atom

Structure (POSCAR):
```
La3PrAg
1.0
-1.9176 4.2194 -8.4753
0.6524 -9.0063 3.4311
-4.1937 1.3220 4.7493
La Pr Ag
6 2 2
Direct
0.7704 0.8986 0.1878
0.2892 0.4174 0.1878
0.7108 0.5826 0.8122
0.8562 0.5475 0.4036
0.2296 0.1014 0.8122
0.1438 0.4525 0.5964
0.6869 0.1812 0.8681
0.3131 0.8188 0.1319
0.7285 0.9271 0.6557
0.2715 0.0729 0.3443
```



Record 3
Pa3GaCo4: relaxed, PBE.

Output
Symmetry: Immm (71)
Energy relative to the elements: -0.289 eV per atom

Structure (POSCAR):
```
Pa3GaCo4
1.0
3.5860 0.0000 0.0000
0.0000 5.9236 0.0040
-1.7930 -2.9698 6.7591
Pa Ga Co
3 1 4
Direct
0.3040 0.8040 0.6080
0.6960 0.1960 0.3920
0.5000 0.5000 0.0000
0.0000 0.0000 0.0000
0.8764 0.1674 0.7528
0.1236 0.8326 0.2472
0.8764 0.5852 0.7527
0.1236 0.4148 0.2473
```



What is the formula in the first record?
RbLiGaN2